Record 1
Material: SrZrAs2
Method: DFT, PBE
State: relaxed

Structure (extended XYZ):
```
4
Lattice="2.0229 1.1679 7.0985 -2.0229 1.1679 7.0985 0.0000 -2.3358 7.0985" Properties=species:S:1:pos:R:3 pbc="T T T"
Sr 0.0000 0.0000 0.0000
Zr 0.0000 0.0000 10.6478
As 0.0000 0.0000 5.0648
As 0.0000 0.0000 16.2308
```

Calculated values
Energy of formation from the pure elements ... -1.15 eV per atom
Electronic total energy ... -6.0320 eV per atom



Record 2
Material: Tm6TlSb2Se3
Method: DFT, PBE
State: relaxed

Structure (extended XYZ):
```
12
Lattice="9.1486 -2.0720 0.0000 9.1486 2.0720 0.0000 -1.9182 0.0000 8.2442" Properties=species:S:1:pos:R:3 pbc="T T T"
Tm -0.4065 0.0000 2.0165
Tm 5.2864 0.0000 3.4934
Tm 4.3670 0.0000 7.5135
Tm 12.0121 0.0000 0.7307
Tm 11.0927 0.0000 4.7508
Tm 16.7856 0.0000 6.2276
Tl 8.1896 0.0000 4.1221
Sb 1.4402 0.0000 6.8731
Sb 14.9389 0.0000 1.3711
Se 2.4662 0.0000 2.7460
Se 9.1486 0.0000 0.0000
Se 13.9129 0.0000 5.4982
```

Calculated values
Electronic total energy ... -5.2084 eV per atom
Formation energy without anion corrections ... -14.61 eV per formula unit